# BeNi6Sb | the Alexandria database | PBEsol | optimized geometry
data_BeNi6Sb
_chemical_formula_sum 'Be8 Ni48 Sb8'
_cell_length_a 7.038
_cell_length_b 10.029
_cell_length_c 10.074
_cell_angle_alpha 90.00
_cell_angle_beta 90.00
_cell_angle_gamma 90.00
_space_group_name_H-M_alt 'C m m m'
_space_group_IT_number 65
_space_group_name_Hall '-C 2 2'
loop_
_atom_site_label
_atom_site_fract_x
_atom_site_fract_y
_atom_site_fract_z
Be1 0.000 0.000 0.236
Be2 0.000 0.252 0.000
Ni1 0.000 0.000 0.000
Ni2 0.000 0.000 0.500
Ni3 0.000 0.244 0.236
Ni4 0.000 0.500 0.000
Ni5 0.000 0.500 0.500
Ni6 0.238 0.121 0.366
Ni7 0.240 0.129 0.117
Sb1 0.000 0.254 0.500
Sb2 0.000 0.500 0.242
# DOS at the Fermi energy   64.63 states/eV per cell
# Crystal system   orthorhombic
# Final energy   -0.430 Ry/atom
# Formation energy (no corrections)   -159 meV/atom
# Calculated density   9.0 g/cm3